NdAgPbSe3: relaxed, PBE.

Geometry as POSCAR:
```
NdAgPbSe3
1.0
2.1014 -6.9547 0.0000
2.1014 6.9547 0.0000
0.0000 0.0000 10.9523
Nd Ag Pb Se
2 2 2 6
direct
0.0000 0.0000 0.0000
0.0000 0.0000 0.5000
0.4718 0.5282 0.7500
0.5282 0.4718 0.2500
0.2388 0.7612 0.2500
0.7612 0.2388 0.7500
0.0934 0.9066 0.7500
0.3544 0.6456 0.5612
0.3544 0.6456 0.9388
0.6456 0.3544 0.0612
0.6456 0.3544 0.4388
0.9066 0.0934 0.2500
```

calculated total energy: -4.60 eV per atom


YPbAu2: relaxed, PBE.

Geometry as POSCAR:
```
YPbAu2
1.0
0.0000 3.5494 3.5494
3.5494 0.0000 3.5494
3.5494 3.5494 0.0000
Y Pb Au
1 1 2
direct
0.0000 0.0000 0.0000
0.7500 0.7500 0.7500
0.2500 0.2500 0.2500
0.5000 0.5000 0.5000
```

calculated total energy: -4.60 eV per atom


CsUPd: relaxed, PBE.

Geometry as POSCAR:
```
CsUPd
1.0
0.0000 3.4253 3.4253
3.4253 0.0000 3.4253
3.4253 3.4253 0.0000
Cs U Pd
1 1 1
direct
0.0000 0.0000 0.0000
0.2500 0.2500 0.2500
0.7500 0.7500 0.7500
```

calculated total energy: -4.22 eV per atom


Sm2AlSi: relaxed, PBE.

Geometry as POSCAR:
```
Sm2AlSi
1.0
5.9884 0.0000 0.0000
0.0000 4.0420 0.0000
-2.6736 0.0000 8.2674
Sm Al Si
4 2 2
direct
0.2043 0.2500 0.4255
0.2806 0.7500 0.0675
0.7194 0.2500 0.9325
0.7957 0.7500 0.5745
0.3577 0.7500 0.7162
0.6423 0.2500 0.2838
0.1450 0.2500 0.7885
0.8550 0.7500 0.2115
```

calculated total energy: -5.27 eV per atom


ZrH4: relaxed, PBE.

Geometry as POSCAR:
```
ZrH4
1.0
-1.6758 1.6758 2.6857
1.6758 -1.6758 2.6857
1.6758 1.6758 -2.6857
Zr H
1 4
direct
0.0000 0.0000 0.0000
0.2500 0.7500 0.5000
0.3818 0.3818 0.0000
0.6182 0.6182 0.0000
0.7500 0.2500 0.5000
```

calculated total energy: -4.31 eV per atom


ScCd2Fe: relaxed, PBE.

Geometry as POSCAR:
```
ScCd2Fe
1.0
0.0000 3.3321 3.3321
3.3321 0.0000 3.3321
3.3321 3.3321 0.0000
Sc Cd Fe
1 2 1
direct
0.0000 0.0000 0.0000
0.2500 0.2500 0.2500
0.5000 0.5000 0.5000
0.7500 0.7500 0.7500
```

DFT formation energy: 0.36 eV/f.u.


Ba2PrOsSe6: relaxed, PBE.

Geometry as POSCAR:
```
Ba2PrOsSe6
1.0
-3.6347 3.6347 5.5296
3.6347 -3.6347 5.5296
3.6347 3.6347 -5.5296
Ba Pr Os Se
2 1 1 6
direct
0.2500 0.7500 0.5000
0.7500 0.2500 0.5000
0.0000 0.0000 0.0000
0.5000 0.5000 0.0000
0.1935 0.3443 0.5378
0.2675 0.2675 0.0000
0.3443 0.8065 0.1508
0.6557 0.1935 0.8492
0.7325 0.7325 0.0000
0.8065 0.6557 0.4622
```

calculated total energy: -5.19 eV per atom


Tm4SbIrC2: relaxed, PBE.

Geometry as POSCAR:
```
Tm4SbIrC2
1.0
3.5507 0.0000 0.0000
-1.7754 3.0750 0.0000
0.0000 0.0000 14.3851
Tm Sb Ir C
4 1 1 2
direct
0.0000 0.0000 0.1401
0.0000 0.0000 0.8599
0.3333 0.6667 0.3246
0.3333 0.6667 0.6754
0.0000 0.0000 0.5000
0.3333 0.6667 0.0000
0.6667 0.3333 0.2395
0.6667 0.3333 0.7605
```

calculated total energy: -6.68 eV per atom